A relaxed structure of TiSBrN2, computed with PBE-GGA.

a b c (Å): 3.848 3.848 5.628
angles (deg): 90.00 90.00 90.00
Fractional positions:
Ti1 0.000 0.000 0.000
S1 0.000 0.000 0.500
Br1 0.500 0.500 0.500
N1 0.000 0.500 0.000
N2 0.500 0.000 0.000

Results
Calculated density: 3.74 g cm⁻³
Formation energy (no corrections): 0.546 eV per atom
D(E_F): 0.680 states/eV per atom